[1]
HfGa2FeCo2Ir2: optimized geometry, GGA-PBE.

Output
crystal system	tetragonal
DFT total energy	-0.549	Ry per atom
size of the total moment	5.879	μB per formula unit

The structure in CIF format:
```
data_HfGa2FeCo2Ir2
_symmetry_space_group_name_H-M 'P -4 m 2'
_symmetry_Int_Tables_number 115
_symmetry_space_group_name_Hall 'P -4 -2'
_cell_length_a 4.286
_cell_length_b 4.286
_cell_length_c 6.096
_cell_angle_alpha 90.00
_cell_angle_beta 90.00
_cell_angle_gamma 90.00
loop_
_atom_site_label
_atom_site_fract_x
_atom_site_fract_y
_atom_site_fract_z
_atom_site_occupancy
Hf1 0.000 0.000 0.000 1
Ga1 0.000 0.000 0.500 1
Ga2 0.500 0.500 0.000 1
Fe1 0.500 0.500 0.500 1
Co1 0.000 0.500 0.726 1
Ir1 0.000 0.500 0.259 1
```

[2]
CuReB4: optimized geometry, GGA-PBE.

Output
crystal system	hexagonal
DFT total energy	-0.507	Ry per atom
size of the total moment	0.000	μB per formula unit

The structure in CIF format:
```
data_CuReB4
_symmetry_space_group_name_H-M 'P 6/m m m'
_symmetry_Int_Tables_number 191
_symmetry_space_group_name_Hall '-P 6 2'
_cell_length_a 2.9388
_cell_length_b 2.9388
_cell_length_c 7.0795
_cell_angle_alpha 90.00
_cell_angle_beta 90.00
_cell_angle_gamma 120.00
loop_
_atom_site_label
_atom_site_fract_x
_atom_site_fract_y
_atom_site_fract_z
_atom_site_occupancy
Cu1 0.0000 0.0000 0.0000 1
Re1 0.0000 0.0000 0.5000 1
B1 0.3333 0.6667 0.2565 1
```

[3]
DyURe: optimized geometry, GGA-PBE.

Output
energy of formation	3.278	eV/f.u.
crystal system	cubic
DFT total energy	-0.614	Ry per atom
size of the total moment	1.151	μB per formula unit

The structure in CIF format:
```
data_DyURe
_symmetry_space_group_name_H-M 'F -4 3 m'
_symmetry_Int_Tables_number 216
_symmetry_space_group_name_Hall 'F -4 2 3'
_cell_length_a 6.520
_cell_length_b 6.520
_cell_length_c 6.520
_cell_angle_alpha 90.00
_cell_angle_beta 90.00
_cell_angle_gamma 90.00
loop_
_atom_site_label
_atom_site_fract_x
_atom_site_fract_y
_atom_site_fract_z
_atom_site_occupancy
Dy1 0.000 0.000 0.000 1
U1 0.250 0.250 0.250 1
Re1 0.000 0.000 0.500 1
```

[4]
LiHoZnTe3: optimized geometry, GGA-PBE.

Output
crystal system	orthorhombic
DFT total energy	-0.277	Ry per atom
size of the total moment	0.000	μB per formula unit

The structure in CIF format:
```
data_LiHoZnTe3
_symmetry_space_group_name_H-M 'P n m a'
_symmetry_Int_Tables_number 62
_symmetry_space_group_name_Hall '-P 2ac 2n'
_cell_length_a 12.960
_cell_length_b 4.259
_cell_length_c 12.601
_cell_angle_alpha 90.00
_cell_angle_beta 90.00
_cell_angle_gamma 90.00
loop_
_atom_site_label
_atom_site_fract_x
_atom_site_fract_y
_atom_site_fract_z
_atom_site_occupancy
Li1 0.122 0.250 0.010 1
Ho1 0.048 0.250 0.677 1
Zn1 0.239 0.250 0.287 1
Te1 0.067 0.750 0.858 1
Te2 0.089 0.250 0.425 1
Te3 0.217 0.750 0.157 1
```

[5]
Rb2CuBiCl6: optimized geometry, GGA-PBE.

Output
crystal system	tetragonal
DFT total energy	-0.246	Ry per atom

The structure in CIF format:
```
data_Rb2CuBiCl6
_symmetry_space_group_name_H-M 'I 4/m'
_symmetry_Int_Tables_number 87
_symmetry_space_group_name_Hall '-I 4'
_cell_length_a 7.210
_cell_length_b 7.210
_cell_length_c 10.844
_cell_angle_alpha 90.00
_cell_angle_beta 90.00
_cell_angle_gamma 90.00
loop_
_atom_site_label
_atom_site_fract_x
_atom_site_fract_y
_atom_site_fract_z
_atom_site_occupancy
Rb1 0.000 0.500 0.250 1
Cu1 0.000 0.000 0.000 1
Bi1 0.000 0.000 0.500 1
Cl1 0.000 0.000 0.248 1
Cl2 0.183 0.288 0.000 1
```

[6]
Y2TcOs3: optimized geometry, GGA-PBE.

Output
energy of formation	-1.687	eV/f.u.
crystal system	hexagonal
DFT total energy	-0.719	Ry per atom
size of the total moment	0.006	μB per formula unit

The structure in CIF format:
```
data_Y2TcOs3
_symmetry_space_group_name_H-M 'P 63/m m c'
_symmetry_Int_Tables_number 194
_symmetry_space_group_name_Hall '-P 6c 2c'
_cell_length_a 5.3769
_cell_length_b 5.3769
_cell_length_c 8.7189
_cell_angle_alpha 90.00
_cell_angle_beta 90.00
_cell_angle_gamma 120.00
loop_
_atom_site_label
_atom_site_fract_x
_atom_site_fract_y
_atom_site_fract_z
_atom_site_occupancy
Y1 0.3333 0.6667 0.0657 1
Tc1 0.0000 0.0000 0.0000 1
Os1 0.1723 0.3445 0.7500 1
```

[7]
HfBeCuSi: optimized geometry, GGA-PBE.

Output
crystal system	cubic
DFT total energy	-0.416	Ry per atom
size of the total moment	0.003	μB per formula unit

The structure in CIF format:
```
data_HfBeCuSi
_symmetry_space_group_name_H-M 'F -4 3 m'
_symmetry_Int_Tables_number 216
_symmetry_space_group_name_Hall 'F -4 2 3'
_cell_length_a 6.062
_cell_length_b 6.062
_cell_length_c 6.062
_cell_angle_alpha 90.00
_cell_angle_beta 90.00
_cell_angle_gamma 90.00
loop_
_atom_site_label
_atom_site_fract_x
_atom_site_fract_y
_atom_site_fract_z
_atom_site_occupancy
Hf1 0.000 0.000 0.000 1
Be1 0.250 0.250 0.750 1
Cu1 0.000 0.000 0.500 1
Si1 0.250 0.250 0.250 1
```

[8]
CdMo4PC2: optimized geometry, GGA-PBE.

Output
crystal system	hexagonal
DFT total energy	-0.633	Ry per atom
size of the total moment	0.004	μB per formula unit

The structure in CIF format:
```
data_CdMo4PC2
_symmetry_space_group_name_H-M 'P -6 m 2'
_symmetry_Int_Tables_number 187
_symmetry_space_group_name_Hall 'P -6 2'
_cell_length_a 3.1392
_cell_length_b 3.1392
_cell_length_c 12.9296
_cell_angle_alpha 90.00
_cell_angle_beta 90.00
_cell_angle_gamma 120.00
loop_
_atom_site_label
_atom_site_fract_x
_atom_site_fract_y
_atom_site_fract_z
_atom_site_occupancy
Cd1 0.0000 0.0000 0.0000 1
Mo1 0.0000 0.0000 0.3665 1
Mo2 0.6667 0.3333 0.1902 1
P1 0.6667 0.3333 0.5000 1
C1 0.3333 0.6667 0.2689 1
```

[9]
YTaFeB: optimized geometry, GGA-PBE.

Output
crystal system	cubic
DFT total energy	-0.554	Ry per atom
size of the total moment	0.008	μB per formula unit

The structure in CIF format:
```
data_YTaFeB
_symmetry_space_group_name_H-M 'F -4 3 m'
_symmetry_Int_Tables_number 216
_symmetry_space_group_name_Hall 'F -4 2 3'
_cell_length_a 6.184
_cell_length_b 6.184
_cell_length_c 6.184
_cell_angle_alpha 90.00
_cell_angle_beta 90.00
_cell_angle_gamma 90.00
loop_
_atom_site_label
_atom_site_fract_x
_atom_site_fract_y
_atom_site_fract_z
_atom_site_occupancy
Y1 0.000 0.000 0.000 1
Ta1 0.250 0.250 0.750 1
Fe1 0.000 0.000 0.500 1
B1 0.250 0.250 0.250 1
```

[10]
TbGd2Ga3AgIr2: optimized geometry, GGA-PBE.

Output
crystal system	orthorhombic
DFT total energy	-0.407	Ry per atom
size of the total moment	0.010	μB per formula unit

The structure in CIF format:
```
data_TbGd2Ga3AgIr2
_symmetry_space_group_name_H-M 'A m m 2'
_symmetry_Int_Tables_number 38
_symmetry_space_group_name_Hall 'A 2 -2'
_cell_length_a 3.914
_cell_length_b 12.669
_cell_length_c 7.333
_cell_angle_alpha 90.00
_cell_angle_beta 90.00
_cell_angle_gamma 90.00
loop_
_atom_site_label
_atom_site_fract_x
_atom_site_fract_y
_atom_site_fract_z
_atom_site_occupancy
Tb1 0.000 0.000 0.000 1
Gd1 0.000 0.205 0.616 1
Ga1 0.500 0.000 0.682 1
Ga2 0.500 0.135 0.275 1
Ag1 0.000 0.000 0.410 1
Ir1 0.500 0.166 0.911 1
```

[11]
Er2TmTl3AgPd2: optimized geometry, GGA-PBE.

Output
crystal system	orthorhombic
DFT total energy	-0.316	Ry per atom
size of the total moment	0.016	μB per formula unit

The structure in CIF format:
```
data_Er2TmTl3AgPd2
_symmetry_space_group_name_H-M 'A m m 2'
_symmetry_Int_Tables_number 38
_symmetry_space_group_name_Hall 'A 2 -2'
_cell_length_a 3.722
_cell_length_b 13.688
_cell_length_c 7.904
_cell_angle_alpha 90.00
_cell_angle_beta 90.00
_cell_angle_gamma 90.00
loop_
_atom_site_label
_atom_site_fract_x
_atom_site_fract_y
_atom_site_fract_z
_atom_site_occupancy
Er1 0.000 0.202 0.000 1
Tm1 0.000 0.000 0.608 1
Tl1 0.500 0.000 0.927 1
Tl2 0.500 0.138 0.340 1
Ag1 0.000 0.000 0.203 1
Pd1 0.500 0.166 0.702 1
```